[1]
This record from the Alexandria database describes a geometry-optimized TcNi2P structure. The functional is GGA-PBE.

Values from the calculation:
Its theoretical density is 8.50 Mg/m³. Its formation energy is -0.139 eV per atom. The uncorrected energy comes out at -6.973 eV/atom. The spin magnetization is 0.0 μB/cell.

```
data_TcNi2P
_chemical_formula_sum 'Tc2 Ni4 P2'
_cell_length_a 3.130
_cell_length_b 3.992
_cell_length_c 7.709
_cell_angle_alpha 90.00
_cell_angle_beta 90.00
_cell_angle_gamma 90.00
_symmetry_space_group_name_H-M 'I m m 2'
_symmetry_Int_Tables_number 44
loop_
_symmetry_equiv_pos_as_xyz
'x,y,z'
'-x,-y,z'
'-x,y,z'
'x,-y,z'
'x+1/2,y+1/2,z+1/2'
'-x+1/2,-y+1/2,z+1/2'
'-x+1/2,y+1/2,z+1/2'
'x+1/2,-y+1/2,z+1/2'
loop_
_atom_site_label
_atom_site_type_symbol
_atom_site_fract_x
_atom_site_fract_y
_atom_site_fract_z
Tc1 Tc 0.000 0.000 0.000
Ni1 Ni 0.000 0.000 0.434
Ni2 Ni 0.000 0.500 0.217
P1 P 0.000 0.500 0.733
```

[2]
This record from the Alexandria database describes a geometry-optimized Nb3InH structure. The functional is GGA-PBE.

Values from the calculation:
Its theoretical density is 7.89 Mg/m³. The uncorrected energy comes out at -7.044 eV/atom. The spin magnetization is 0.0 μB/cell.

```
data_Nb3InH
_chemical_formula_sum 'Nb12 In4 H4'
_cell_length_a 5.619
_cell_length_b 5.619
_cell_length_c 10.517
_cell_angle_alpha 90.00
_cell_angle_beta 90.00
_cell_angle_gamma 90.00
_symmetry_space_group_name_H-M 'I -4 m 2'
_symmetry_Int_Tables_number 119
_symmetry_space_group_name_Hall 'I -4 -2'
loop_
_atom_site_label
_atom_site_type_symbol
_atom_site_fract_x
_atom_site_fract_y
_atom_site_fract_z
Nb1 Nb 0.000 0.000 0.126
Nb2 Nb 0.000 0.244 0.635
In1 In 0.000 0.500 0.110
H1 H 0.000 0.000 0.500
H2 H 0.000 0.500 0.750
```

[3]
This record from the Alexandria database describes a geometry-optimized Tl8I3Br4Cl structure. The functional is GGA-PBE.

Values from the calculation:
Its theoretical density is 6.11 Mg/m³. The uncorrected energy comes out at -2.806 eV/atom. As for the uncorrected formation energy: -799 meV per atom. The spin magnetization is 0.0 μB/cell.

```
data_Tl8I3Br4Cl
_chemical_formula_sum 'Tl16 I6 Br8 Cl2'
_cell_length_a 16.782
_cell_length_b 9.697
_cell_length_c 9.691
_cell_angle_alpha 90.00
_cell_angle_beta 125.22
_cell_angle_gamma 90.00
_symmetry_space_group_name_H-M 'C 1 2/m 1'
_symmetry_Int_Tables_number 12
loop_
_symmetry_equiv_pos_as_xyz
'x,y,z'
'-x,-y,-z'
'-x,y,-z'
'x,-y,z'
'x+1/2,y+1/2,z'
'-x+1/2,-y+1/2,-z'
'-x+1/2,y+1/2,-z'
'x+1/2,-y+1/2,z'
loop_
_atom_site_label
_atom_site_type_symbol
_atom_site_fract_x
_atom_site_fract_y
_atom_site_fract_z
Tl1 Tl 0.005 0.241 0.255
Tl2 Tl 0.244 0.000 0.255
Tl3 Tl 0.248 0.000 0.737
I1 I 0.000 0.500 0.500
I2 I 0.250 0.250 0.000
Br1 Br 0.000 0.000 0.000
Br2 Br 0.000 0.500 0.000
Br3 Br 0.250 0.250 0.500
Cl1 Cl 0.000 0.000 0.500
```

[4]
This record from the Alexandria database describes a geometry-optimized HSeS6 structure. The functional is GGA-PBE.

Values from the calculation:
Its theoretical density is 2.12 Mg/m³. The uncorrected energy comes out at -3.743 eV/atom. The spin magnetization is 0.0 μB/cell.

```
data_HSeS6
_chemical_formula_sum 'H1 Se1 S6'
_cell_length_a 5.344
_cell_length_b 6.428
_cell_length_c 7.118
_cell_angle_alpha 95.36
_cell_angle_beta 109.61
_cell_angle_gamma 108.24
_symmetry_space_group_name_H-M 'P -1'
_symmetry_Int_Tables_number 2
loop_
_symmetry_equiv_pos_as_xyz
'x,y,z'
'-x,-y,-z'
loop_
_atom_site_label
_atom_site_type_symbol
_atom_site_fract_x
_atom_site_fract_y
_atom_site_fract_z
H1 H 0.000 0.000 0.000
Se1 Se 0.000 0.500 0.000
S1 S 0.192 0.327 0.510
S2 S 0.252 0.246 0.055
S3 S 0.416 0.241 0.378
```

[5]
This record from the Alexandria database describes a geometry-optimized Ba2BrO structure. The functional is GGA-PBE.

Values from the calculation:
The calculation puts the distance to the lowest polymorph of the same formula at 95 meV per atom. Its theoretical density is 4.01 Mg/m³. The uncorrected energy comes out at -4.558 eV/atom. As for the uncorrected formation energy: -1939 meV per atom. The spin magnetization is 2.9 μB/cell.

```
data_Ba2BrO
_chemical_formula_sum 'Ba8 Br4 O4'
_cell_length_a 7.124
_cell_length_b 7.124
_cell_length_c 12.092
_cell_angle_alpha 90.00
_cell_angle_beta 90.00
_cell_angle_gamma 90.00
_symmetry_space_group_name_H-M 'I -4 2 d'
_symmetry_Int_Tables_number 122
_symmetry_space_group_name_Hall 'I -4 2bw'
loop_
_atom_site_label
_atom_site_type_symbol
_atom_site_fract_x
_atom_site_fract_y
_atom_site_fract_z
Ba1 Ba 0.161 0.250 0.125
Br1 Br 0.000 0.000 0.500
O1 O 0.000 0.000 0.000
```

[6]
This record from the Alexandria database describes a geometry-optimized MnPdRu2 structure. The functional is GGA-PBE.

Values from the calculation:
Its theoretical density is 10.94 Mg/m³. Its formation energy is 0.503 eV per atom. The uncorrected energy comes out at -7.725 eV/atom. The spin magnetization is 0.3 μB/cell.

```
data_MnPdRu2
_chemical_formula_sum 'Mn4 Pd4 Ru8'
_cell_length_a 6.044
_cell_length_b 6.044
_cell_length_c 6.044
_cell_angle_alpha 90.00
_cell_angle_beta 90.00
_cell_angle_gamma 90.00
_symmetry_space_group_name_H-M 'F m -3 m'
_symmetry_Int_Tables_number 225
_symmetry_space_group_name_Hall '-F 4 2 3'
loop_
_atom_site_label
_atom_site_type_symbol
_atom_site_fract_x
_atom_site_fract_y
_atom_site_fract_z
Mn1 Mn 0.000 0.000 0.000
Pd1 Pd 0.000 0.000 0.500
Ru1 Ru 0.250 0.250 0.250
```

[7]
This record from the Alexandria database describes a geometry-optimized AgWI2 structure. The functional is GGA-PBE.

Values from the calculation:
The calculation puts the distance to the lowest polymorph of the same formula at 39 meV per atom. Its theoretical density is 10.33 Mg/m³. The uncorrected energy comes out at -3.567 eV/atom. As for the uncorrected formation energy: 1159 meV per atom. The spin magnetization is 1.7 μB/cell.

```
data_AgWI2
_chemical_formula_sum 'Ag4 W4 I8'
_cell_length_a 7.052
_cell_length_b 7.052
_cell_length_c 7.052
_cell_angle_alpha 90.00
_cell_angle_beta 90.00
_cell_angle_gamma 90.00
_symmetry_space_group_name_H-M 'F m -3 m'
_symmetry_Int_Tables_number 225
_symmetry_space_group_name_Hall '-F 4 2 3'
loop_
_atom_site_label
_atom_site_type_symbol
_atom_site_fract_x
_atom_site_fract_y
_atom_site_fract_z
Ag1 Ag 0.000 0.000 0.000
W1 W 0.000 0.000 0.500
I1 I 0.250 0.250 0.250
```

[8]
This record from the Alexandria database describes a geometry-optimized NbGaCoRh structure. The functional is GGA-PBE.

Values from the calculation:
The calculation puts the distance to the lowest polymorph of the same formula at 0 meV per atom. Its theoretical density is 9.49 Mg/m³. Its formation energy is -0.433 eV per atom. The uncorrected energy comes out at -7.322 eV/atom. The spin magnetization is 0.0 μB/cell.

```
data_NbGaCoRh
_chemical_formula_sum 'Nb2 Ga2 Co2 Rh2'
_cell_length_a 3.971
_cell_length_b 3.971
_cell_length_c 7.202
_cell_angle_alpha 90.00
_cell_angle_beta 90.00
_cell_angle_gamma 90.00
_symmetry_space_group_name_H-M 'I -4 m 2'
_symmetry_Int_Tables_number 119
_symmetry_space_group_name_Hall 'I -4 -2'
loop_
_atom_site_label
_atom_site_type_symbol
_atom_site_fract_x
_atom_site_fract_y
_atom_site_fract_z
Nb1 Nb 0.000 0.000 0.000
Ga1 Ga 0.000 0.000 0.500
Co1 Co 0.000 0.500 0.750
Rh1 Rh 0.000 0.500 0.250
```

[9]
This record from the Alexandria database describes a geometry-optimized LiTaW2 structure. The functional is GGA-PBE.

Values from the calculation:
The calculation puts the distance to the lowest polymorph of the same formula at 185 meV per atom. Its theoretical density is 14.10 Mg/m³. Its formation energy is 0.437 eV per atom. The uncorrected energy comes out at -9.481 eV/atom. The spin magnetization is 0.0 μB/cell.

```
data_LiTaW2
_chemical_formula_sum 'Li1 Ta1 W2'
_cell_length_a 2.654
_cell_length_b 4.364
_cell_length_c 5.650
_cell_angle_alpha 90.00
_cell_angle_beta 90.00
_cell_angle_gamma 90.00
_symmetry_space_group_name_H-M 'P m m 2'
_symmetry_Int_Tables_number 25
loop_
_symmetry_equiv_pos_as_xyz
'x,y,z'
'-x,-y,z'
'-x,y,z'
'x,-y,z'
loop_
_atom_site_label
_atom_site_type_symbol
_atom_site_fract_x
_atom_site_fract_y
_atom_site_fract_z
Li1 Li 0.000 0.000 0.000
Ta1 Ta 0.500 0.500 0.249
W1 W 0.000 0.000 0.510
W2 W 0.500 0.500 0.746
```

[10]
This record from the Alexandria database describes a geometry-optimized Pr7Sn2Ge2 structure. The functional is GGA-PBE.

Values from the calculation:
Its theoretical density is 6.35 Mg/m³. Its formation energy is -0.440 eV per atom. The uncorrected energy comes out at -5.048 eV/atom. The spin magnetization is 0.0 μB/cell.

```
data_Pr7Sn2Ge2
_chemical_formula_sum 'Pr14 Sn4 Ge4'
_cell_length_a 8.690
_cell_length_b 11.545
_cell_length_c 7.137
_cell_angle_alpha 90.00
_cell_angle_beta 90.00
_cell_angle_gamma 90.00
_symmetry_space_group_name_H-M 'C m m m'
_symmetry_Int_Tables_number 65
_symmetry_space_group_name_Hall '-C 2 2'
loop_
_atom_site_label
_atom_site_type_symbol
_atom_site_fract_x
_atom_site_fract_y
_atom_site_fract_z
Pr1 Pr 0.000 0.000 0.000
Pr2 Pr 0.000 0.500 0.246
Pr3 Pr 0.250 0.250 0.277
Sn1 Sn 0.175 0.000 0.500
Ge1 Ge 0.000 0.273 0.000
```

[11]
This record from the Alexandria database describes a geometry-optimized AlP3Pt structure. The functional is GGA-PBE.

Values from the calculation:
The calculation puts the distance to the lowest polymorph of the same formula at 0 meV per atom. Its theoretical density is 4.98 Mg/m³. Its formation energy is 0.835 eV per atom. The uncorrected energy comes out at -4.368 eV/atom. The spin magnetization is 0.0 μB/cell.

```
data_AlP3Pt
_chemical_formula_sum 'Al1 P3 Pt1'
_cell_length_a 4.717
_cell_length_b 4.717
_cell_length_c 4.717
_cell_angle_alpha 90.00
_cell_angle_beta 90.00
_cell_angle_gamma 90.00
_symmetry_space_group_name_H-M 'P m -3 m'
_symmetry_Int_Tables_number 221
_symmetry_space_group_name_Hall '-P 4 2 3'
loop_
_atom_site_label
_atom_site_type_symbol
_atom_site_fract_x
_atom_site_fract_y
_atom_site_fract_z
Al1 Al 0.000 0.000 0.000
P1 P 0.000 0.500 0.500
Pt1 Pt 0.500 0.500 0.500
```